Material: BeWAu2
Method: DFT, meta-GGA SCAN
State: PBEsol geometry

Space group: No. 71
Energy of formation from the pure elements: 0.330 eV/atom
Raw total energy: -1.939 Ha/atom
DOS(E_F): 0.699 states/eV per atom
Spin magnetization: 0.00 Bohr magnetons per cell

Unit cell a=2.8536 b=4.4843 c=5.2080 alpha=115.50 beta=105.90 gamma=90.00
Sites, in units of the cell vectors:
Be: 0.5000 0.0000 0.0000
Au: 0.2101 0.2101 0.4202
Au: 0.7899 0.7899 0.5798
W: 0.0000 0.5000 0.0000